[1]
The following is a DFT calculation (GGA-PBE) of a relaxed Cr2Ir2I crystal.

```
Cr2Ir2I
1.0
-2.785 2.414 0.388
-2.183 -2.190 -2.042
-4.340 -2.860 4.344
Cr Ir I
2 2 1
direct
0.615 0.615 0.771
0.385 0.385 0.229
0.250 0.750 0.500
0.750 0.250 0.500
0.000 0.000 0.000
```

Values from the calculation:
Its volume is 17.2 A^3/atom. The calculated total energy comes out at -7.119 eV/atom. The value obtained for the density is 11.9 g cm⁻³. The calculation puts the energy above the most stable polymorph in this dataset at 86.0 meV/atom.

***

[2]
The following is a DFT calculation (GGA-PBE) of a relaxed CrIrI crystal.

```
CrIrI
1.0
-2.647 -2.417 0.859
3.487 -1.183 -0.490
2.016 1.558 10.596
I Ir Cr
2 2 2
direct
0.163 0.325 0.184
0.163 0.325 0.816
0.733 0.466 0.618
0.733 0.466 0.382
0.402 0.805 0.500
0.473 0.946 0.000
```

Values from the calculation:
Its volume is 21.6 A^3/atom. The calculated total energy comes out at -6.123 eV/atom. The value obtained for the density is 9.5 g cm⁻³.

***

[3]
The following is a DFT calculation (GGA-PBE) of a relaxed Cr2IrI crystal.

```
Cr2IrI
1.0
6.597 0.000 0.000
0.000 6.597 0.000
3.299 3.299 4.250
Cr Ir I
4 2 2
direct
0.671 0.125 0.250
0.375 0.329 0.750
0.079 0.625 0.250
0.875 0.921 0.750
0.000 0.000 0.000
0.750 0.250 0.500
0.250 0.750 0.500
0.500 0.500 0.000
```

Values from the calculation:
Its volume is 23.1 A^3/atom. The calculated total energy comes out at -6.568 eV/atom. The value obtained for the density is 7.6 g cm⁻³. The calculation puts the energy above the most stable polymorph in this dataset at 0.0 meV/atom.

***

[4]
The following is a DFT calculation (GGA-PBE) of a relaxed Cr2Ir2I crystal.

```
Cr2Ir2I
1.0
-7.429 -0.460 -1.540
1.601 -2.722 -6.913
-0.051 -2.691 1.048
Ir Cr I
4 4 2
direct
0.867 0.633 0.000
0.633 0.133 0.000
0.133 0.367 0.000
0.367 0.867 0.000
0.344 0.156 0.500
0.844 0.344 0.500
0.656 0.844 0.500
0.156 0.656 0.500
0.000 0.000 0.000
0.500 0.500 0.000
```

Values from the calculation:
Its volume is 16.7 A^3/atom. The calculated total energy comes out at -7.205 eV/atom. The value obtained for the density is 12.2 g cm⁻³. The calculation puts the energy above the most stable polymorph in this dataset at 0.0 meV/atom.

***

[5]
The following is a DFT calculation (GGA-PBE) of a relaxed CrIrI3 crystal.

```
CrIrI3
1.0
-1.115 -2.300 -4.794
4.125 -3.465 0.703
-3.355 -3.496 2.458
Ir I Cr
1 3 1
direct
0.000 0.000 0.000
0.000 0.000 0.500
0.500 0.000 0.000
0.000 0.500 0.000
0.500 0.500 0.500
```

Values from the calculation:
Its volume is 32.1 A^3/atom. The calculated total energy comes out at -3.946 eV/atom. The value obtained for the density is 6.5 g cm⁻³. The calculation puts the energy above the most stable polymorph in this dataset at 0.0 meV/atom.

***

[6]
The following is a DFT calculation (GGA-PBE) of a relaxed CrIr3I crystal.

```
CrIr3I
1.0
-3.464 -1.532 2.581
2.955 -2.437 2.519
0.530 3.568 2.829
Cr Ir I
1 3 1
direct
0.000 0.000 0.000
0.000 0.000 0.500
0.000 0.500 0.000
0.500 0.000 0.000
0.500 0.500 0.500
```

Values from the calculation:
Its volume is 19.3 A^3/atom. The calculated total energy comes out at -6.064 eV/atom. The value obtained for the density is 13.0 g cm⁻³.

***

| no. | total magnetic moment (Bohr magnetons per cell) |
| --- | --- |
| 1 | 0.00 |
| 2 | 5.85 |
| 3 | 11.79 |
| 4 | 10.16 |
| 5 | 4.64 |
| 6 | 0.00 |